DFT (PBE) results for an optimized crystal structure of MgBe4.

Calculated values
**Fermi-level density of states**: 0.415 states/eV per atom
**Distance to the lowest polymorph of the same formula**: 1.094 eV/atom
**Energy relative to the elements**: 1.3779 eV/atom

The structure in POSCAR format:
```
MgBe4
1.0
-0.0315 -3.4261 3.2130
-4.0927 0.0227 -2.3048
3.5045 -0.7362 -3.0395
Be Mg
4 1
Cartesian
-0.0158 -1.7130 1.6065 Be
1.7523 -0.3681 -1.5198 Be
-0.3098 -2.0698 -1.0656 Be
-2.0463 0.0113 -1.1524 Be
0.0000 0.0000 0.0000 Mg
```